Entry 1:
Mn2NiSe: relaxed, PBE-GGA.

Calculated values
The calculation puts the electronic total energy at -26.5 eV per cell. As for the space group: F-43m (216). For the magnetization, the calculation gives 4.8 μB/cell.

The structure in CIF format:
```
data_Mn2NiSe
_chemical_formula_sum 'Mn2 Ni1 Se1'
_cell_length_a 4.162
_cell_length_b 4.162
_cell_length_c 4.162
_cell_angle_alpha 60.00
_cell_angle_beta 60.00
_cell_angle_gamma 60.00
_space_group_name_H-M_alt 'P 1'
_space_group_IT_number 1
_space_group_name_Hall 'P 1'
loop_
_atom_site_label
_atom_site_type_symbol
_atom_site_fract_x
_atom_site_fract_y
_atom_site_fract_z
Mn1 Mn 0.000 0.000 0.000
Mn2 Mn 0.250 0.250 0.250
Ni1 Ni 0.500 0.500 0.500
Se1 Se 0.750 0.750 0.750
```

Entry 2:
MnNiSe2: relaxed, PBE-GGA.

Calculated values
The calculation puts the electronic total energy at -22.7 eV per cell. As for the space group: P2/m (10). The excess energy over the best structure of this formula in the dataset is 0.1399 eV/atom. For the magnetization, the calculation gives 3.7 μB/cell.

The structure in CIF format:
```
data_MnNiSe2
_chemical_formula_sum 'Mn1 Ni1 Se2'
_cell_length_a 3.304
_cell_length_b 5.570
_cell_length_c 7.500
_cell_angle_alpha 44.05
_cell_angle_beta 90.00
_cell_angle_gamma 90.00
_space_group_name_H-M_alt 'P 1'
_space_group_IT_number 1
_space_group_name_Hall 'P 1'
loop_
_atom_site_label
_atom_site_type_symbol
_atom_site_fract_x
_atom_site_fract_y
_atom_site_fract_z
Mn1 Mn 0.500 0.250 0.250
Ni1 Ni 0.500 0.750 0.750
Se1 Se 0.000 0.734 0.988
Se2 Se 0.000 0.766 0.512
```

Entry 3:
MnNiSe3: relaxed, PBE-GGA.

Calculated values
The calculation puts the electronic total energy at -21.0 eV per cell. As for the space group: Pm-3m (221). The excess energy over the best structure of this formula in the dataset is 1.2125 eV/atom. For the magnetization, the calculation gives 0.3 μB/cell.

The structure in CIF format:
```
data_MnNiSe3
_chemical_formula_sum 'Mn1 Ni1 Se3'
_cell_length_a 4.647
_cell_length_b 4.647
_cell_length_c 4.647
_cell_angle_alpha 90.00
_cell_angle_beta 90.00
_cell_angle_gamma 90.00
_space_group_name_H-M_alt 'P 1'
_space_group_IT_number 1
_space_group_name_Hall 'P 1'
loop_
_atom_site_label
_atom_site_type_symbol
_atom_site_fract_x
_atom_site_fract_y
_atom_site_fract_z
Ni1 Ni 0.000 0.000 0.000
Mn1 Mn 0.500 0.500 0.500
Se1 Se 0.000 0.500 0.000
Se2 Se 0.000 0.000 0.500
Se3 Se 0.500 0.000 0.000
```

Entry 4:
MnNiSe: relaxed, PBE-GGA.

Calculated values
The calculation puts the electronic total energy at -18.8 eV per cell. As for the space group: F-43m (216). The excess energy over the best structure of this formula in the dataset is 0.0000 eV/atom. For the magnetization, the calculation gives 4.9 μB/cell.

The structure in CIF format:
```
data_MnNiSe
_chemical_formula_sum 'Mn1 Ni1 Se1'
_cell_length_a 4.081
_cell_length_b 4.081
_cell_length_c 4.081
_cell_angle_alpha 60.00
_cell_angle_beta 60.00
_cell_angle_gamma 60.00
_space_group_name_H-M_alt 'P 1'
_space_group_IT_number 1
_space_group_name_Hall 'P 1'
loop_
_atom_site_label
_atom_site_type_symbol
_atom_site_fract_x
_atom_site_fract_y
_atom_site_fract_z
Mn1 Mn 0.500 0.500 0.500
Ni1 Ni 0.750 0.750 0.750
Se1 Se 0.000 0.000 0.000
```